Entry 1:
A plane-wave DFT calculation with GGA-PBE was carried out for a relaxed structure of InCu2Te.

The uncorrected formation energy comes out at 1.799 eV/f.u. The energy above the most stable polymorph in this dataset is 395 meV per atom. The spin magnetization is 0.00 μB per cell. Its density of states at the Fermi level is 2.956 states/eV/f.u.

Unit cell a=4.906 b=4.906 c=4.906 alpha=60.00 beta=60.00 gamma=60.00
Sites, in units of the cell vectors:
In  0.500  0.500  0.500
Cu  0.000  0.000  0.000
Cu  0.750  0.750  0.750
Te  0.250  0.250  0.250

---

Entry 2:
A plane-wave DFT calculation with GGA-PBE was carried out for a relaxed structure of Nd3Br2.

The uncorrected formation energy comes out at -3.930 eV/f.u. The spin magnetization is 0.00 μB per cell. Its density of states at the Fermi level is 4.308 states/eV/f.u.

Unit cell a=7.329 b=7.329 c=7.942 alpha=62.52 beta=62.52 gamma=60.00
Sites, in units of the cell vectors:
Nd  0.908  0.250  0.250
Nd  0.408  0.092  0.750
Nd  0.592  0.908  0.250
Nd  0.092  0.750  0.750
Nd  0.250  0.592  0.250
Nd  0.750  0.408  0.750
Br  0.334  0.334  0.998
Br  0.666  0.666  0.002
Br  0.166  0.166  0.502
Br  0.834  0.834  0.498

---

Entry 3:
A plane-wave DFT calculation with GGA-PBE was carried out for a relaxed structure of NaZn5Ga7.

The spin magnetization is 0.00 μB per cell. Its density of states at the Fermi level is 4.412 states/eV/f.u. As for the formation energy: -0.005 eV/atom.

Unit cell a=5.111 b=7.281 c=7.281 alpha=81.69 beta=69.45 gamma=69.45
Sites, in units of the cell vectors:
Zn  0.999  0.505  0.997
Zn  0.499  0.505  0.997
Zn  0.717  0.783  0.783
Zn  0.999  0.997  0.505
Zn  0.499  0.997  0.505
Ga  0.000  0.354  0.647
Ga  0.645  0.355  0.355
Ga  0.289  0.211  0.211
Ga  0.349  0.651  0.651
Ga  0.501  0.791  0.207
Ga  0.501  0.207  0.791
Ga  0.000  0.647  0.354
Na  0.002  0.998  0.998

---

Entry 4:
A plane-wave DFT calculation with GGA-PBE was carried out for a relaxed structure of Mg4Os3.

The energy above the most stable polymorph in this dataset is 0 meV per atom. The spin magnetization is 0.00 μB per cell. Its density of states at the Fermi level is 6.942 states/eV/f.u. As for the formation energy: 0.150 eV/atom.

Unit cell a=14.944 b=14.944 c=14.944 alpha=168.99 beta=168.99 gamma=15.59
Sites, in units of the cell vectors:
Os  0.000  0.000  0.000
Os  0.277  0.277  0.000
Os  0.723  0.723  0.000
Mg  0.844  0.844  0.000
Mg  0.156  0.156  0.000
Mg  0.435  0.435  0.000
Mg  0.565  0.565  0.000

---

Entry 5:
A plane-wave DFT calculation with GGA-PBE was carried out for a relaxed structure of ZrAs2Pt.

The spin magnetization is 0.00 μB per cell. Its density of states at the Fermi level is 1.593 states/eV/f.u. As for the formation energy: -0.561 eV/atom.

Unit cell a=4.647 b=2.935 c=5.492 alpha=78.78 beta=90.00 gamma=90.00
Sites, in units of the cell vectors:
As  0.000  0.130  0.952
As  0.500  0.392  0.302
Pt  0.000  0.288  0.482
Zr  0.500  0.690  0.765

---

Entry 6:
A plane-wave DFT calculation with GGA-PBE was carried out for a relaxed structure of Zr2P2C.

The energy above the most stable polymorph in this dataset is 0 meV per atom. The spin magnetization is 0.00 μB per cell. Its density of states at the Fermi level is 2.276 states/eV/f.u. As for the formation energy: -0.407 eV/atom.

Unit cell a=6.410 b=6.410 c=3.944 alpha=90.00 beta=90.00 gamma=90.00
Sites, in units of the cell vectors:
P  0.879  0.379  0.500
P  0.379  0.121  0.500
P  0.121  0.621  0.500
P  0.621  0.879  0.500
Zr  0.184  0.316  0.000
Zr  0.316  0.816  0.000
Zr  0.684  0.184  0.000
Zr  0.816  0.684  0.000
C  0.000  0.000  0.000
C  0.500  0.500  0.000

---

Entry 7:
A plane-wave DFT calculation with GGA-PBE was carried out for a relaxed structure of Hf2FeRhPb.

The spin magnetization is 0.50 μB per cell. Its density of states at the Fermi level is 9.509 states/eV/f.u. As for the formation energy: 1.760 eV/atom.

Unit cell a=5.253 b=4.569 c=5.253 alpha=90.00 beta=90.00 gamma=90.00
Sites, in units of the cell vectors:
Rh  0.500  0.500  0.500
Fe  0.000  0.500  0.000
Pb  0.000  0.000  0.000
Hf  0.500  0.000  0.000
Hf  0.000  0.000  0.500

---

Entry 8:
A plane-wave DFT calculation with GGA-PBE was carried out for a relaxed structure of Pm2CI3.

The uncorrected formation energy comes out at -6.292 eV/f.u. The spin magnetization is 0.53 μB per cell. Its density of states at the Fermi level is 1.905 states/eV/f.u.

Unit cell a=4.126 b=9.806 c=12.787 alpha=60.26 beta=80.72 gamma=77.86
Sites, in units of the cell vectors:
I  0.783  0.802  0.632
I  0.217  0.198  0.368
I  0.365  0.374  0.896
I  0.635  0.626  0.104
I  0.078  0.068  0.775
I  0.922  0.932  0.225
C  0.520  0.517  0.442
C  0.480  0.483  0.558
Pm  0.063  0.565  0.308
Pm  0.614  0.215  0.557
Pm  0.937  0.435  0.692
Pm  0.386  0.785  0.443